The following is a DFT calculation (PBE) of PaHAu after structural relaxation.

Cell lengths 3.7697, 3.7697, 4.3226 Å; angles 90.00, 90.00, 120.00 degrees
Positions (direct):
Pa 0.0000 0.0000 0.0000
H 0.6667 0.3333 0.0000
Au 0.3333 0.6667 0.5000

## Properties
* total magnetic moment: 0.00 μB per formula unit
* offset from the most stable computed form: 136 meV per atom
* DOS at the Fermi energy: 3.42 states/eV/f.u.

The following is a DFT calculation (PBE) of FeTc2W after structural relaxation.

Cell lengths 3.6569, 3.6569, 18.4699 Å; angles 90.00, 90.00, 90.00 degrees
Positions (direct):
Fe 0.0000 0.0000 0.0000
Fe 0.0000 0.5000 0.2500
Fe 0.5000 0.0000 0.7500
Fe 0.5000 0.5000 0.5000
Tc 0.2155 0.2500 0.1250
Tc 0.2500 0.7155 0.3750
Tc 0.2500 0.7845 0.8750
Tc 0.2845 0.2500 0.6250
Tc 0.7155 0.7500 0.6250
Tc 0.7500 0.2155 0.8750
Tc 0.7500 0.2845 0.3750
Tc 0.7845 0.7500 0.1250
W 0.0000 0.0000 0.5000
W 0.0000 0.5000 0.7500
W 0.5000 0.0000 0.2500
W 0.5000 0.5000 0.0000

## Properties
* total magnetic moment: 2.01 μB per formula unit
* ΔE_f: 0.78 eV per atom
* DOS at the Fermi energy: 5.71 states/eV/f.u.

The following is a DFT calculation (PBE) of TbTmHg2 after structural relaxation.

Cell lengths 3.6851, 3.6851, 7.4954 Å; angles 90.00, 90.00, 90.00 degrees
Positions (direct):
Tb 0.0000 0.0000 0.0000
Tm 0.0000 0.0000 0.5000
Hg 0.5000 0.5000 0.2601
Hg 0.5000 0.5000 0.7399

## Properties
* total magnetic moment: 0.23 μB per formula unit
* offset from the most stable computed form: 0 meV per atom
* ΔE_f: -0.48 eV per atom
* DOS at the Fermi energy: 3.64 states/eV/f.u.

The following is a DFT calculation (PBE) of RbBaIn4 after structural relaxation.

Cell lengths 6.5263, 6.5263, 6.5263 Å; angles 60.00, 60.00, 60.00 degrees
Positions (direct):
Rb 0.0000 0.0000 0.0000
Ba 0.7500 0.7500 0.7500
In 0.3751 0.3751 0.3751
In 0.3751 0.3751 0.8746
In 0.3751 0.8746 0.3751
In 0.8746 0.3751 0.3751

## Properties
* total magnetic moment: 0.00 μB per formula unit
* ΔE_f: -0.27 eV per atom
* DOS at the Fermi energy: 1.07 states/eV/f.u.

The following is a DFT calculation (PBE) of Ba2LiMg3Sn4 after structural relaxation.

Cell lengths 4.9162, 4.9162, 12.1180 Å; angles 90.00, 90.00, 90.00 degrees
Positions (direct):
Ba 0.0000 0.5000 0.2433
Ba 0.5000 0.0000 0.7567
Li 0.5000 0.5000 0.0000
Mg 0.0000 0.0000 0.0000
Mg 0.0000 0.5000 0.6388
Mg 0.5000 0.0000 0.3612
Sn 0.0000 0.0000 0.5000
Sn 0.0000 0.5000 0.8712
Sn 0.5000 0.0000 0.1288
Sn 0.5000 0.5000 0.5000

## Properties
* total magnetic moment: 0.00 μB per formula unit
* ΔE_f: -0.47 eV per atom
* DOS at the Fermi energy: 5.15 states/eV/f.u.

The following is a DFT calculation (PBE) of AcSi3Ir2 after structural relaxation.

Cell lengths 8.4524, 8.4524, 9.7709 Å; angles 102.98, 102.98, 28.27 degrees
Positions (direct):
Ac 0.0000 0.0000 0.0000
Ac 0.1525 0.1525 0.6978
Ac 0.8475 0.8475 0.3022
Si 0.0476 0.0476 0.3679
Si 0.2204 0.2204 0.3825
Si 0.3539 0.3539 0.0636
Si 0.3579 0.3579 0.8162
Si 0.5000 0.5000 0.5000
Si 0.6421 0.6421 0.1838
Si 0.6461 0.6461 0.9364
Si 0.7796 0.7796 0.6175
Si 0.9524 0.9524 0.6321
Ir 0.2089 0.2089 0.0902
Ir 0.3532 0.3532 0.5670
Ir 0.4931 0.4931 0.2392
Ir 0.5069 0.5069 0.7608
Ir 0.6468 0.6468 0.4330
Ir 0.7911 0.7911 0.9098

## Properties
* total magnetic moment: 0.00 μB per formula unit
* DOS at the Fermi energy: 2.20 states/eV/f.u.
* formation energy from raw total energies: -0.718 eV/atom

The following is a DFT calculation (PBE) of BaHgCl2 after structural relaxation.

Cell lengths 7.8021, 7.8021, 7.8021 Å; angles 90.00, 90.00, 90.00 degrees
Positions (direct):
Ba 0.0000 0.0000 0.0000
Ba 0.0000 0.5000 0.5000
Ba 0.5000 0.0000 0.5000
Ba 0.5000 0.5000 0.0000
Hg 0.0000 0.0000 0.5000
Hg 0.0000 0.5000 0.0000
Hg 0.5000 0.0000 0.0000
Hg 0.5000 0.5000 0.5000
Cl 0.2500 0.2500 0.2500
Cl 0.2500 0.2500 0.7500
Cl 0.2500 0.7500 0.2500
Cl 0.2500 0.7500 0.7500
Cl 0.7500 0.2500 0.2500
Cl 0.7500 0.2500 0.7500
Cl 0.7500 0.7500 0.2500
Cl 0.7500 0.7500 0.7500

## Properties
* total magnetic moment: 0.00 μB per formula unit
* offset from the most stable computed form: 75 meV per atom
* DOS at the Fermi energy: 0.00 states/eV/f.u.
* formation energy from raw total energies: -1.729 eV/atom

The following is a DFT calculation (PBE) of TiMoIr6 after structural relaxation.

Cell lengths 5.4922, 5.4922, 3.8827 Å; angles 90.00, 90.00, 90.00 degrees
Positions (direct):
Ti 0.0000 0.0000 0.0000
Mo 0.5000 0.5000 0.0000
Ir 0.0000 0.5000 0.0000
Ir 0.2521 0.2521 0.5000
Ir 0.2521 0.7479 0.5000
Ir 0.5000 0.0000 0.0000
Ir 0.7479 0.2521 0.5000
Ir 0.7479 0.7479 0.5000

## Properties
* total magnetic moment: 0.00 μB per formula unit
* ΔE_f: -0.53 eV per atom
* DOS at the Fermi energy: 4.68 states/eV/f.u.

The following is a DFT calculation (PBE) of ZrPaCd2 after structural relaxation.

Cell lengths 3.1096, 3.1096, 9.4163 Å; angles 90.00, 90.00, 90.00 degrees
Positions (direct):
Zr 0.0000 0.0000 0.0000
Pa 0.0000 0.0000 0.5000
Cd 0.5000 0.5000 0.2356
Cd 0.5000 0.5000 0.7644

## Properties
* total magnetic moment: 0.45 μB per formula unit
* ΔE_f: 0.01 eV per atom
* DOS at the Fermi energy: 6.22 states/eV/f.u.

The following is a DFT calculation (PBE) of Ag4HBr2 after structural relaxation.

Cell lengths 4.0255, 4.0255, 17.0846 Å; angles 90.00, 90.00, 90.00 degrees
Positions (direct):
Ag 0.0000 0.0000 0.1400
Ag 0.0000 0.0000 0.8600
Ag 0.0000 0.5000 0.0000
Ag 0.0000 0.5000 0.5000
Ag 0.5000 0.0000 0.0000
Ag 0.5000 0.0000 0.5000
Ag 0.5000 0.5000 0.3600
Ag 0.5000 0.5000 0.6400
H 0.0000 0.0000 0.0000
H 0.5000 0.5000 0.5000
Br 0.0000 0.0000 0.3258
Br 0.0000 0.0000 0.6742
Br 0.5000 0.5000 0.1742
Br 0.5000 0.5000 0.8258

## Properties
* total magnetic moment: 0.00 μB per formula unit
* DOS at the Fermi energy: 1.27 states/eV/f.u.
* energy: -17.84 eV/f.u.

The following is a DFT calculation (PBE) of Rb3CdHg6 after structural relaxation.

Cell lengths 8.2709, 8.2709, 8.2709 Å; angles 113.14, 113.14, 113.14 degrees
Positions (direct):
Rb 0.9998 0.5001 0.5001
Rb 0.5001 0.9998 0.5001
Rb 0.5001 0.5001 0.9998
Cd 0.5016 0.5016 0.5016
Hg 0.0675 0.0675 0.3549
Hg 0.0675 0.3549 0.0675
Hg 0.3549 0.0675 0.0675
Hg 0.6438 0.9332 0.9332
Hg 0.9332 0.6438 0.9332
Hg 0.9332 0.9332 0.6438

## Properties
* total magnetic moment: 0.00 μB per formula unit
* ΔE_f: -0.20 eV per atom
* DOS at the Fermi energy: 3.71 states/eV/f.u.

The following is a DFT calculation (PBE) of Ba21Al40 after structural relaxation.

Cell lengths 10.6061, 10.6061, 17.3944 Å; angles 90.00, 90.00, 120.00 degrees
Positions (direct):
Ba 0.0000 0.0000 0.0686
Ba 0.0000 0.0000 0.2849
Ba 0.0000 0.3226 0.7841
Ba 0.0000 0.3284 0.3898
Ba 0.0000 0.3333 0.0000
Ba 0.0000 0.6642 0.4977
Ba 0.0000 0.6709 0.7109
Ba 0.3226 0.0000 0.7841
Ba 0.3284 0.0000 0.3898
Ba 0.3291 0.3291 0.7109
Ba 0.3333 0.0000 0.0000
Ba 0.3333 0.6667 0.0709
Ba 0.3333 0.6667 0.2868
Ba 0.3358 0.3358 0.4977
Ba 0.6642 0.0000 0.4977
Ba 0.6667 0.3333 0.0709
Ba 0.6667 0.3333 0.2868
Ba 0.6667 0.6667 0.0000
Ba 0.6709 0.0000 0.7109
Ba 0.6716 0.6716 0.3898
Ba 0.6774 0.6774 0.7841
Al 0.0000 0.0000 0.4915
Al 0.0000 0.0000 0.6988
Al 0.0000 0.0000 0.8580
Al 0.0000 0.1957 0.5973
Al 0.0000 0.4897 0.1798
Al 0.0000 0.6654 0.2941
Al 0.0000 0.6707 0.0627
Al 0.0000 0.7580 0.9139
Al 0.1551 0.3334 0.1808
Al 0.1638 0.5003 0.6068
Al 0.1783 0.8449 0.1808
Al 0.1845 0.6643 0.8813
Al 0.1957 0.0000 0.5973
Al 0.2420 0.2420 0.9139
Al 0.3293 0.3293 0.0627
Al 0.3334 0.1551 0.1808
Al 0.3333 0.6667 0.4886
Al 0.3333 0.6667 0.7391
Al 0.3346 0.3346 0.2941
Al 0.3357 0.5202 0.8813
Al 0.3365 0.8362 0.6068
Al 0.4798 0.8155 0.8813
Al 0.4897 0.0000 0.1798
Al 0.5003 0.1638 0.6068
Al 0.4997 0.6635 0.6068
Al 0.5103 0.5103 0.1798
Al 0.5202 0.3357 0.8813
Al 0.6635 0.4997 0.6068
Al 0.6643 0.1845 0.8813
Al 0.6654 0.0000 0.2941
Al 0.6667 0.3333 0.4886
Al 0.6667 0.3333 0.7391
Al 0.6666 0.8217 0.1808
Al 0.6707 0.0000 0.0627
Al 0.7580 0.0000 0.9139
Al 0.8043 0.8043 0.5973
Al 0.8155 0.4798 0.8813
Al 0.8217 0.6666 0.1808
Al 0.8362 0.3365 0.6068
Al 0.8449 0.1783 0.1808

## Properties
* total magnetic moment: 0.00 μB per formula unit
* ΔE_f: -0.24 eV per atom
* DOS at the Fermi energy: 23.64 states/eV/f.u.

- Which value of total magnetic moment does entry 7 give?
  0.00 μB per formula unit

- Which of these has the highest DOS at the Fermi energy?
  Ba21Al40